Record 1
{"formula": "BaNp2UO8", "functional": "PBE-GGA", "state": "relaxed", "lattice_angstrom": [[5.2841, 0.0540, -0.0027], [0.1096, 5.2895, -0.0052], [0.0056, 0.0091, 7.2133]], "species": ["O", "O", "O", "O", "O", "O", "O", "O", "Np", "Np", "U", "Ba"], "fractional_positions": [[0.6587, 0.6623, 0.5003], [0.3413, 0.3377, 0.4997], [0.8015, 0.2014, 0.2046], [0.6868, 0.6889, 0.0001], [0.3132, 0.3111, 0.9999], [0.1985, 0.7986, 0.7954], [0.1984, 0.7985, 0.2046], [0.8016, 0.2015, 0.7954], [0.5001, 0.5001, 0.2453], [0.4999, 0.4999, 0.7547], [0.0000, 0.0000, 0.0000], [0.0000, 0.0000, 0.5000]], "spacegroup": "No. 10", "total_magnetization_mub_per_fu": 6.00, "raw_formation_energy_mev_per_atom": -2987.7}



Record 2
{"formula": "BaNpUO6", "functional": "PBE-GGA", "state": "relaxed", "lattice_angstrom": [[5.9547, 0.0000, 0.0000], [-2.9774, 5.1570, 0.0000], [0.0000, 0.0000, 10.9182]], "species": ["O", "O", "O", "O", "O", "O", "O", "O", "O", "O", "O", "O", "Ba", "Ba", "U", "U", "Np", "Np"], "fractional_positions": [[0.0063, 0.3810, 0.6501], [0.0063, 0.6253, 0.8499], [0.3810, 0.0063, 0.1501], [0.9937, 0.6190, 0.3499], [0.6253, 0.6190, 0.1501], [0.3810, 0.3747, 0.3499], [0.3747, 0.3810, 0.8499], [0.6190, 0.6253, 0.6501], [0.6190, 0.9937, 0.8499], [0.9937, 0.3747, 0.1501], [0.3747, 0.9937, 0.6501], [0.6253, 0.0063, 0.3499], [0.0000, 0.0000, 0.5000], [0.0000, 0.0000, 0.0000], [0.6667, 0.3333, 0.2500], [0.3333, 0.6667, 0.7500], [0.3333, 0.6667, 0.2500], [0.6667, 0.3333, 0.7500]], "spacegroup": "No. 163", "total_magnetization_mub_per_fu": 3.00, "raw_formation_energy_mev_per_atom": -3088.7}



Record 3
{"formula": "Ba3NpU2O9", "functional": "PBE-GGA", "state": "relaxed", "lattice_angstrom": [[6.2949, 0.0000, 0.0000], [-3.1475, 5.4516, 0.0000], [0.0000, 0.0000, 7.7111]], "species": ["O", "O", "O", "O", "O", "O", "O", "O", "O", "U", "U", "Ba", "Ba", "Ba", "Np"], "fractional_positions": [[0.1690, 0.8310, 0.3312], [0.3381, 0.1690, 0.6688], [0.0000, 0.5000, 0.0000], [0.5000, 0.5000, 0.0000], [0.5000, 0.0000, 0.0000], [0.6619, 0.8310, 0.3312], [0.8310, 0.1690, 0.6688], [0.8310, 0.6619, 0.6688], [0.1690, 0.3381, 0.3312], [0.3333, 0.6667, 0.1667], [0.6667, 0.3333, 0.8333], [0.3333, 0.6667, 0.6617], [0.6667, 0.3333, 0.3383], [0.0000, 0.0000, 0.0000], [0.0000, 0.0000, 0.5000]], "spacegroup": "No. 164", "total_magnetization_mub_per_fu": 7.00, "raw_formation_energy_mev_per_atom": -3008.7}